P.
Below is a geometry-optimized Hf3ZnIn2 structure, with properties calculated at the GGA-PBE level.

Properties
As for the volume: 21.40 A^3/atom. For the total moment, the calculation gives 0.00 Bohr magnetons per cell.

The structure in POSCAR format:
```
Hf3ZnIn2
1.0
10.2597 0.0000 0.0000
0.0000 5.3745 -0.2570
0.0000 -2.4790 4.7755
Hf In Zn
6 4 2
Direct
0.9696 0.1628 0.8372 Hf
0.4696 0.1628 0.8372 Hf
0.4696 0.8372 0.1628 Hf
0.9696 0.8372 0.1628 Hf
0.4696 0.5000 0.5000 Hf
0.9696 0.5000 0.5000 Hf
0.2197 0.4976 0.8314 In
0.2197 0.8314 0.4976 In
0.7197 0.5024 0.1686 In
0.7197 0.1686 0.5024 In
0.7196 0.8343 0.8343 Zn
0.2196 0.1657 0.1657 Zn
```



Q.
Below is a geometry-optimized Hf3ZnIn2 structure, with properties calculated at the GGA-PBE level.

Properties
As for the volume: 20.46 A^3/atom. For the total moment, the calculation gives 0.00 Bohr magnetons per cell.

The structure in POSCAR format:
```
Hf3ZnIn2
1.0
-0.5351 -3.0028 -0.4647
0.0865 -0.4868 3.0454
-12.6926 2.1528 0.7048
Hf In Zn
3 2 1
Direct
0.0000 0.0000 0.3524 Hf
0.0000 0.0000 0.6476 Hf
0.0000 0.0000 0.0000 Hf
0.5000 0.5000 0.8252 In
0.5000 0.5000 0.1748 In
0.5000 0.5000 0.5000 Zn
```



Which is most stable, and by how much? Q, by 129 meV/atom.



P.
Below is a geometry-optimized HfZrIn3 structure, with properties calculated at the GGA-PBE level.

Properties
As for the volume: 23.75 A^3/atom. For the total moment, the calculation gives 0.00 Bohr magnetons per cell.

The structure in POSCAR format:
```
HfZrIn3
1.0
4.3681 -0.0009 0.0000
0.0013 6.9783 0.0000
0.0000 0.0000 7.7915
In Zr Hf
6 2 2
Direct
0.2500 0.5419 0.2701 In
0.7500 0.7500 0.0552 In
0.7500 0.0419 0.7299 In
0.2500 0.2500 0.9448 In
0.7500 0.4581 0.7299 In
0.2500 0.9581 0.2701 In
0.2500 0.7500 0.7690 Zr
0.7500 0.2500 0.2310 Zr
0.2500 0.2500 0.5363 Hf
0.7500 0.7500 0.4637 Hf
```



Q.
Below is a geometry-optimized HfZrIn3 structure, with properties calculated at the GGA-PBE level.

Properties
As for the volume: 30.59 A^3/atom. For the total moment, the calculation gives 0.00 Bohr magnetons per cell.

The structure in POSCAR format:
```
HfZrIn3
1.0
5.3477 0.0000 0.0000
0.0000 5.3477 0.0000
0.0000 0.0000 5.3477
In Zr Hf
3 1 1
Direct
0.5000 0.0000 0.0000 In
0.0000 0.5000 0.0000 In
0.0000 0.0000 0.5000 In
0.5000 0.5000 0.5000 Zr
0.0000 0.0000 0.0000 Hf
```



Which is most stable, and by how much? P, by 857 meV/atom.



P.
Below is a geometry-optimized Hf3Zr2In structure, with properties calculated at the GGA-PBE level.

Properties
As for the volume: 22.38 A^3/atom. For the total moment, the calculation gives 0.00 Bohr magnetons per cell.

The structure in POSCAR format:
```
Hf3Zr2In
1.0
4.4242 0.0000 0.0000
0.0000 4.2100 -1.4235
0.0000 0.0822 7.1805
Hf In Zr
3 1 2
Direct
0.5000 0.5000 0.0000 Hf
0.5000 0.1667 0.3334 Hf
0.5000 0.8333 0.6666 Hf
0.0000 0.0000 0.0000 In
0.0000 0.6662 0.3323 Zr
0.0000 0.3338 0.6677 Zr
```



Q.
Below is a geometry-optimized Hf3Zr2In structure, with properties calculated at the GGA-PBE level.

Properties
As for the volume: 22.58 A^3/atom. For the total moment, the calculation gives 0.00 Bohr magnetons per cell.

The structure in POSCAR format:
```
Hf3Zr2In
1.0
-2.0336 -4.3757 -2.1595
7.1944 -1.9533 3.6534
-7.2449 1.4675 3.8489
Hf Zr In
6 4 2
Direct
0.3790 0.7579 0.3846 Hf
0.9530 0.9060 0.6121 Hf
0.0470 0.0940 0.3879 Hf
0.7018 0.4035 0.3622 Hf
0.6210 0.2421 0.6154 Hf
0.2982 0.5965 0.6378 Hf
0.7966 0.5933 0.1364 Zr
0.2034 0.4067 0.8636 Zr
0.4561 0.9123 0.1209 Zr
0.5439 0.0877 0.8791 Zr
0.8725 0.7450 0.8696 In
0.1275 0.2550 0.1304 In
```



Which is most stable, and by how much? P, by 111 meV/atom.